1.
Computed, not measured: a relaxed structure of ThSc2Cu9 at the PBE level of DFT.

## Properties
- DOS at the Fermi energy (states/eV per cell) = 17.210
- E_tot (eV per atom) = -4.939

Unit cell a=5.1419 b=5.1419 c=16.1565 alpha=90.00 beta=90.00 gamma=120.00
Positions (direct):
Cu 0.3333 0.6667 0.2500
Cu 0.1680 0.8320 0.1223
Sc 0.3333 0.6667 0.5311
Cu 0.1680 0.3360 0.1223
Th 0.6667 0.3333 0.2500
Sc 0.3333 0.6667 0.9689
Cu 0.3360 0.1680 0.6223
Sc 0.6667 0.3333 0.0311
Cu 0.1680 0.3360 0.3777
Cu 0.6667 0.3333 0.7500
Cu 0.1680 0.8320 0.3777
Cu 0.3360 0.1680 0.8777
Sc 0.6667 0.3333 0.4689
Cu 0.0000 0.0000 0.2500
Cu 0.8320 0.1680 0.8777
Cu 0.0000 0.0000 0.5000
Th 0.3333 0.6667 0.7500
Cu 0.8320 0.6640 0.6223
Cu 0.0000 0.0000 0.0000
Cu 0.6640 0.8320 0.1223
Cu 0.6640 0.8320 0.3777
Cu 0.0000 0.0000 0.7500
Cu 0.8320 0.1680 0.6223
Cu 0.8320 0.6640 0.8777

***

2.
Computed, not measured: a relaxed structure of ThScCu4 at the PBE level of DFT.

## Properties
- DOS at the Fermi energy (states/eV per cell) = 5.746
- offset from the most stable computed form (meV/atom) = 84.8

Unit cell a=5.2227 b=5.2227 c=5.2227 alpha=60.00 beta=60.00 gamma=60.00
Positions (direct):
Sc 0.0000 0.0000 0.0000
Cu 0.6265 0.1205 0.6265
Cu 0.6265 0.6265 0.6265
Cu 0.1205 0.6265 0.6265
Th 0.2500 0.2500 0.2500
Cu 0.6265 0.6265 0.1205

***

3.
Computed, not measured: a relaxed structure of ThScCu4 at the PBE level of DFT.

## Properties
- DOS at the Fermi energy (states/eV per cell) = 4.094
- offset from the most stable computed form (meV/atom) = 0.0

Unit cell a=4.3052 b=4.3052 c=6.5510 alpha=90.00 beta=90.00 gamma=120.00
Positions (direct):
Cu 0.3333 0.6667 0.7885
Cu 0.3333 0.6667 0.2115
Th 0.0000 0.0000 0.5000
Cu 0.6667 0.3333 0.2115
Sc 0.0000 0.0000 0.0000
Cu 0.6667 0.3333 0.7885

***

4.
Computed, not measured: a relaxed structure of ThSc3Cu2 at the PBE level of DFT.

## Properties
- DOS at the Fermi energy (states/eV per cell) = 5.443
- E_tot (eV per atom) = -5.932

Unit cell a=3.3161 b=3.3161 c=11.4077 alpha=90.00 beta=90.00 gamma=90.00
Positions (direct):
Sc 0.0000 0.0000 0.0000
Cu 0.5000 0.5000 0.8579
Sc 0.0000 0.0000 0.7196
Cu 0.5000 0.5000 0.1421
Th 0.5000 0.5000 0.5000
Sc 0.0000 0.0000 0.2804

***

Repeat the fourth record exactly.
Computed, not measured: a relaxed structure of ThSc3Cu2 at the PBE level of DFT.

## Properties
- DOS at the Fermi energy (states/eV per cell) = 5.443
- E_tot (eV per atom) = -5.932

Unit cell a=3.3161 b=3.3161 c=11.4077 alpha=90.00 beta=90.00 gamma=90.00
Positions (direct):
Sc 0.0000 0.0000 0.0000
Cu 0.5000 0.5000 0.8579
Sc 0.0000 0.0000 0.7196
Cu 0.5000 0.5000 0.1421
Th 0.5000 0.5000 0.5000
Sc 0.0000 0.0000 0.2804

***

> DOS at the Fermi energy of number 4 (ThSc3Cu2)?

5.443 states/eV per cell

***

> Which of these has the lowest DOS at the Fermi energy?

number 3

***

> Among the records above, which one has the lowest DOS at the Fermi energy?

number 3